No. 1
17
Lattice="6.9683 0.0000 0.0000 -2.3228 6.5698 0.0000 -2.3228 -3.2849 5.6896" Properties=species:S:1:pos:R:3 comment="CeP12Os4, PBEsol geometry, DFT meta-GGA SCAN" sg="No. 204" formation_enthalpy_0k_mev_per_atom=-720 n_ef_per_ev_fu=1.97 volume_a3_per_cell=260 pbc="T T T"
Os -1.1614 3.2849 0.0000
Os 3.4842 0.0000 0.0000
Os -1.1614 -1.6424 2.8448
Os 1.1614 1.6424 2.8448
P 4.6520 1.6379 1.2021
P 3.6641 -1.1750 3.6701
P -2.3292 1.6470 4.4875
P -0.0064 -1.4249 4.8722
P 0.0064 3.5070 3.6701
P 3.3043 2.5909 2.8527
P -0.9815 0.6940 2.8369
P 1.3413 0.4810 4.8722
P 2.3292 4.7098 0.8174
P 0.9815 2.8039 0.8174
P 2.3163 -0.2221 2.0195
P -1.3413 4.4599 2.0195
Ce 0.0000 0.0000 0.0000

***

No. 2
3
Lattice="2.8239 0.0000 0.0000 0.0000 4.8678 0.0000 0.0000 -2.4339 4.2157" Properties=species:S:1:pos:R:3 comment="SrZnTc, PBEsol geometry, DFT meta-GGA SCAN" sg="No. 187" formation_enthalpy_0k_mev_per_atom=688 n_ef_per_ev_fu=2.43 volume_a3_per_cell=58 relative_energy_ev_per_fu=0.00 pbc="T T T"
Zn 1.4120 2.4339 1.4052
Tc 1.4120 0.0000 2.8104
Sr 0.0000 0.0000 0.0000